[1]
Here is a relaxed BaMnGaP crystal from the Alexandria database. Energies are from GGA-PBE.

a = 3.8208 Å, b = 3.8208 Å, c = 12.4371 Å
α = 90.00°, β = 90.00°, γ = 90.00°
With the nearest neighbours (Å) after each atom.
Element x y z (fractional)
Ba (0.7500, 0.7500, 0.2457)  4 P 3.23, 4 Mn 3.60
Ba (0.2500, 0.2500, 0.7543)  4 P 3.23, 4 Mn 3.60
Mn (0.7500, 0.2500, 0.0000)  4 P 2.30
Mn (0.2500, 0.7500, 0.0000)  4 P 2.30
Ga (0.2500, 0.7500, 0.5000)  4 Ga 2.70
Ga (0.7500, 0.2500, 0.5000)  4 Ga 2.70
P (0.7500, 0.7500, 0.8972)  4 Mn 2.30
P (0.2500, 0.2500, 0.1028)  4 Mn 2.30

Summary:
Its energy of formation is -0.554 eV/atom.

[2]
Here is a relaxed Ba2MnGa3Pt4 crystal from the Alexandria database. Energies are from GGA-PBE.

a = 4.5049 Å, b = 4.5049 Å, c = 10.6213 Å
α = 90.00°, β = 90.00°, γ = 90.00°
With the nearest neighbours (Å) after each atom.
Element x y z (fractional)
Ba (0.5000, 0.0000, 0.2458)  8 Pt 3.44-3.45, 6 Ga 3.46-3.52, 2 Mn 3.52
Ba (0.0000, 0.5000, 0.7542)  8 Pt 3.44-3.45, 6 Ga 3.46-3.52, 2 Mn 3.52
Mn (0.5000, 0.5000, 0.5000)  4 Pt 2.65
Ga (0.0000, 0.0000, 0.5000)  4 Pt 2.65
Ga (0.5000, 0.0000, 0.8809)  5 Pt 2.58-2.65
Ga (0.0000, 0.5000, 0.1191)  5 Pt 2.58-2.65
Pt (0.5000, 0.5000, 0.0000)  4 Ga 2.58
Pt (0.0000, 0.0000, 0.0000)  4 Ga 2.58
Pt (0.5000, 0.0000, 0.6312)  2 Mn 2.65, 3 Ga 2.65
Pt (0.0000, 0.5000, 0.3688)  2 Mn 2.65, 3 Ga 2.65

Summary:
Its energy of formation is -0.685 eV/atom.

[3]
Here is a relaxed BaMnGa2Re crystal from the Alexandria database. Energies are from GGA-PBE.

a = 4.9680 Å, b = 4.9413 Å, c = 4.9680 Å
α = 90.00°, β = 90.00°, γ = 90.00°
With the nearest neighbours (Å) after each atom.
Element x y z (fractional)
Re (0.0000, 0.0000, 0.0000)  2 Mn 2.47, 4 Ga 2.48
Mn (0.0000, 0.5000, 0.0000)  2 Re 2.47
Ba (0.5000, 0.5000, 0.5000)  8 Ga 3.50, 4 Mn 3.51
Ga (0.0000, 0.0000, 0.5000)  2 Re 2.48
Ga (0.5000, 0.0000, 0.0000)  2 Re 2.48

Summary:
Its energy of formation is 0.080 eV/atom.

[4]
Here is a relaxed Ba2MnGaRu crystal from the Alexandria database. Energies are from GGA-PBE.

a = 5.7550 Å, b = 4.7373 Å, c = 5.7550 Å
α = 90.00°, β = 90.00°, γ = 90.00°
With the nearest neighbours (Å) after each atom.
Element x y z (fractional)
Ru (0.5000, 0.5000, 0.5000)  8 Ba 3.73, 4 Ga 4.07
Mn (0.0000, 0.0000, 0.0000)  2 Ga 2.37
Ba (0.0000, 0.0000, 0.5000)  2 Mn 2.88
Ba (0.5000, 0.0000, 0.0000)  2 Mn 2.88
Ga (0.0000, 0.5000, 0.0000)  2 Mn 2.37

Summary:
Its energy of formation is 1.022 eV/atom.

[5]
Here is a relaxed BaMnGaS4 crystal from the Alexandria database. Energies are from GGA-PBE.

a = 6.0348 Å, b = 7.1143 Å, c = 8.6092 Å
α = 90.00°, β = 105.78°, γ = 90.00°
With the nearest neighbours (Å) after each atom.
Element x y z (fractional)
Ba (0.7549, 0.7500, 0.9048)  9 S 3.26-3.62, 1 Mn 3.62
Ba (0.2451, 0.2500, 0.0952)  9 S 3.26-3.62, 1 Mn 3.62
Mn (0.6966, 0.7500, 0.3126)  4 S 2.27-2.35
Mn (0.3034, 0.2500, 0.6874)  4 S 2.27-2.35
Ga (0.1927, 0.7500, 0.3159)  4 S 2.25-2.36
Ga (0.8073, 0.2500, 0.6841)  4 S 2.25-2.36
S (0.0724, 0.4892, 0.7362)  1 Ga 2.29, 1 Mn 2.31
S (0.9276, 0.9892, 0.2638)  1 Ga 2.29, 1 Mn 2.31
S (0.9276, 0.5108, 0.2638)  1 Ga 2.29, 1 Mn 2.31
S (0.0724, 0.0108, 0.7362)  1 Ga 2.29, 1 Mn 2.31
S (0.3586, 0.7500, 0.0972)  1 Mn 2.35, 1 Ga 2.36
S (0.6414, 0.2500, 0.9028)  1 Mn 2.35, 1 Ga 2.36
S (0.5227, 0.7500, 0.5157)  1 Ga 2.25, 1 Mn 2.27
S (0.4773, 0.2500, 0.4843)  1 Ga 2.25, 1 Mn 2.27

Summary:
For the uncorrected formation energy, the calculation gives -944 meV/atom.

[6]
Here is a relaxed Ba2MnGaS5 crystal from the Alexandria database. Energies are from GGA-PBE.

a = 4.0130 Å, b = 9.1988 Å, c = 12.6536 Å
α = 90.00°, β = 90.00°, γ = 102.60°
With the nearest neighbours (Å) after each atom.
Element x y z (fractional)
Ba (0.8644, 0.7288, 0.8132)  7 S 3.16-3.22
Ba (0.1229, 0.2458, 0.6906)  7 S 3.10-3.33
Ba (0.1356, 0.2712, 0.3132)  7 S 3.16-3.22
Ba (0.8771, 0.7542, 0.1906)  7 S 3.10-3.33
Mn (0.7897, 0.5793, 0.5277)  4 S 2.30-2.49
Mn (0.2103, 0.4207, 0.0277)  4 S 2.30-2.49
Ga (0.5718, 0.1436, 0.9361)  4 S 2.24-2.40
Ga (0.4282, 0.8564, 0.4361)  4 S 2.24-2.40
S (0.3377, 0.6753, 0.0066)  1 Mn 2.30
S (0.6920, 0.3840, 0.8758)  1 Ga 2.29
S (0.4997, 0.9993, 0.7916)  1 Ga 2.24
S (0.2925, 0.5849, 0.6426)  2 Mn 2.48
S (0.9283, 0.8567, 0.5398)  2 Ga 2.40, 1 Mn 2.49
S (0.6623, 0.3247, 0.5066)  1 Mn 2.30
S (0.3080, 0.6160, 0.3758)  1 Ga 2.29
S (0.5003, 0.0007, 0.2916)  1 Ga 2.24
S (0.7075, 0.4151, 0.1426)  2 Mn 2.48
S (0.0717, 0.1433, 0.0398)  2 Ga 2.40, 1 Mn 2.49

Summary:
For the uncorrected formation energy, the calculation gives -1254 meV/atom.

[7]
Here is a relaxed BaMnGaSe4 crystal from the Alexandria database. Energies are from GGA-PBE.

a = 6.3960 Å, b = 7.0658 Å, c = 9.1032 Å
α = 90.00°, β = 105.75°, γ = 90.00°
With the nearest neighbours (Å) after each atom.
Element x y z (fractional)
Ba (0.7594, 0.7500, 0.9214)  9 Se 3.37-3.73, 1 Mn 3.71
Ba (0.2406, 0.2500, 0.0786)  9 Se 3.37-3.73, 1 Mn 3.71
Mn (0.6993, 0.7500, 0.3151)  4 Se 2.45-2.52
Mn (0.3007, 0.2500, 0.6849)  4 Se 2.45-2.52
Ga (0.1948, 0.7500, 0.3181)  4 Se 2.40-2.51
Ga (0.8052, 0.2500, 0.6819)  4 Se 2.40-2.51
Se (0.0671, 0.5071, 0.7333)  1 Ga 2.43, 1 Mn 2.47
Se (0.9329, 0.0071, 0.2667)  1 Ga 2.43, 1 Mn 2.47
Se (0.9329, 0.4929, 0.2667)  1 Ga 2.43, 1 Mn 2.47
Se (0.0671, 0.9929, 0.7333)  1 Ga 2.43, 1 Mn 2.47
Se (0.3586, 0.7500, 0.0970)  1 Ga 2.51, 1 Mn 2.52
Se (0.6414, 0.2500, 0.9030)  1 Ga 2.51, 1 Mn 2.52
Se (0.5234, 0.7500, 0.5231)  1 Ga 2.40, 1 Mn 2.45
Se (0.4766, 0.2500, 0.4769)  1 Ga 2.40, 1 Mn 2.45

Summary:
For the uncorrected formation energy, the calculation gives -859 meV/atom.

[8]
Here is a relaxed BaMnGa2Tc crystal from the Alexandria database. Energies are from GGA-PBE.

a = 5.0121 Å, b = 4.6763 Å, c = 5.0121 Å
α = 90.00°, β = 90.00°, γ = 90.00°
With the nearest neighbours (Å) after each atom.
Element x y z (fractional)
Mn (0.0000, 0.0000, 0.0000)  2 Tc 2.34, 4 Ga 2.51
Ba (0.5000, 0.5000, 0.5000)  8 Ga 3.43, 4 Tc 3.54
Ga (0.0000, 0.0000, 0.5000)  2 Mn 2.51
Ga (0.5000, 0.0000, 0.0000)  2 Mn 2.51
Tc (0.0000, 0.5000, 0.0000)  2 Mn 2.34

Summary:
Its energy of formation is 0.320 eV/atom.